Record 1
Compound: Y2CrNi
Source: the Alexandria database
Functional: PBE
Structure: optimized geometry

Cell lengths 8.1644, 8.1644, 8.1644 Å; angles 26.51, 26.51, 26.51 degrees
With the nearest neighbours (Å) after each atom.
Sites, in units of the cell vectors:
Ni 0.7500 0.7500 0.7500  6 Y 2.73
Cr 0.2500 0.2500 0.2500  6 Y 3.13
Y 0.0128 0.0128 0.0128  3 Ni 2.73
Y 0.4872 0.4872 0.4872  3 Ni 2.73



Record 2
Compound: Y2CrNi
Source: the Alexandria database
Functional: PBE
Structure: optimized geometry

Cell lengths 3.4643, 3.4773, 7.7886 Å; angles 63.49, 90.00, 90.00 degrees
With the nearest neighbours (Å) after each atom.
Sites, in units of the cell vectors:
Cr 0.5000 0.2500 0.2500  8 Y 3.06
Y 0.0000 0.4869 0.5125  4 Ni 2.96, 4 Cr 3.06, 1 Y 3.31
Ni 0.5000 0.7500 0.7500  8 Y 2.96
Y 0.0000 0.0131 0.9875  4 Ni 2.96, 4 Cr 3.06, 1 Y 3.31



Record 3
Compound: YCr2Ni
Source: the Alexandria database
Functional: PBE
Structure: optimized geometry

Cell lengths 9.2372, 9.2372, 9.2372 Å; angles 17.23, 17.23, 17.23 degrees
With the nearest neighbours (Å) after each atom.
Sites, in units of the cell vectors:
Ni 0.2500 0.2500 0.2500  6 Cr 2.51, 6 Ni 2.77
Y 0.7500 0.7500 0.7500  6 Y 2.77, 6 Cr 3.06
Cr 0.5124 0.5124 0.5124  3 Ni 2.51, 6 Cr 2.77
Cr 0.9876 0.9876 0.9876  3 Ni 2.51, 6 Cr 2.77



Record 4
Compound: Y2CrNi
Source: the Alexandria database
Functional: PBE
Structure: optimized geometry

Cell lengths 4.8698, 4.8698, 4.8698 Å; angles 60.00, 60.00, 60.00 degrees
With the nearest neighbours (Å) after each atom.
Sites, in units of the cell vectors:
Y 0.7500 0.7500 0.7500  4 Y 2.98, 4 Cr 2.98
Ni 0.2500 0.2500 0.2500  4 Y 2.98, 4 Cr 2.98
Y 0.0000 0.0000 0.0000  4 Ni 2.98, 4 Y 2.98
Cr 0.5000 0.5000 0.5000  4 Y 2.98, 4 Ni 2.98



What ΔH_f (0 K) values result from the calculations? In sequence: 300 30 885 316 meV/atom.
What energy above the lowest structure with this stoichiometry values result from the calculations? In sequence: 294 24 676 310 meV/atom.
What calculated density values result from the calculations? In sequence: 5014 5706 6926 5866 kg/m3.